(1)
PrEuInGa, relaxed, DFT PBE; symmetry = F-43m; E = -5.652 eV per atom; total moment = 29.6 μB/cell; ΔH_f (0 K) = -0.4476 eV per atom
1.0
7.6800 0.0000 0.0000
0.0000 7.6800 0.0000
0.0000 0.0000 7.6800
Pr Eu In Ga
4 4 4 4
Direct
0.0000 0.0000 0.0000
0.0000 0.5000 0.5000
0.5000 0.0000 0.5000
0.5000 0.5000 0.0000
0.0000 0.0000 0.5000
0.0000 0.5000 0.0000
0.5000 0.0000 0.0000
0.5000 0.5000 0.5000
0.2500 0.2500 0.7500
0.2500 0.7500 0.2500
0.7500 0.2500 0.2500
0.7500 0.7500 0.7500
0.2500 0.2500 0.2500
0.2500 0.7500 0.7500
0.7500 0.2500 0.7500
0.7500 0.7500 0.2500

=====

(2)
SmEuInGa, relaxed, DFT PBE; symmetry = F-43m; E = -5.638 eV per atom; total moment = 29.2 μB/cell; ΔH_f (0 K) = -0.4487 eV per atom
1.0
7.6011 0.0000 0.0000
0.0000 7.6011 0.0000
0.0000 0.0000 7.6011
Sm Eu In Ga
4 4 4 4
Direct
0.0000 0.0000 0.0000
0.0000 0.5000 0.5000
0.5000 0.0000 0.5000
0.5000 0.5000 0.0000
0.0000 0.0000 0.5000
0.0000 0.5000 0.0000
0.5000 0.0000 0.0000
0.5000 0.5000 0.5000
0.2500 0.2500 0.2500
0.2500 0.7500 0.7500
0.7500 0.2500 0.7500
0.7500 0.7500 0.2500
0.2500 0.2500 0.7500
0.2500 0.7500 0.2500
0.7500 0.2500 0.2500
0.7500 0.7500 0.7500

=====

(3)
EuInGaSn, relaxed, DFT PBE; symmetry = F-43m; E = -5.278 eV per atom; total moment = 28.0 μB/cell; ΔH_f (0 K) = -0.2672 eV per atom
1.0
7.5149 0.0000 0.0000
0.0000 7.5149 0.0000
0.0000 0.0000 7.5149
Eu In Ga Sn
4 4 4 4
Direct
0.0000 0.0000 0.0000
0.0000 0.5000 0.5000
0.5000 0.0000 0.5000
0.5000 0.5000 0.0000
0.0000 0.0000 0.5000
0.0000 0.5000 0.0000
0.5000 0.0000 0.0000
0.5000 0.5000 0.5000
0.2500 0.2500 0.7500
0.2500 0.7500 0.2500
0.7500 0.2500 0.2500
0.7500 0.7500 0.7500
0.2500 0.2500 0.2500
0.2500 0.7500 0.7500
0.7500 0.2500 0.7500
0.7500 0.7500 0.2500

=====

(4)
TbEuInGa, relaxed, DFT PBE; symmetry = F-43m; E = -5.614 eV per atom; total moment = 28.8 μB/cell; ΔH_f (0 K) = -0.4466 eV per atom
1.0
7.5340 0.0000 0.0000
0.0000 7.5340 0.0000
0.0000 0.0000 7.5340
Tb Eu In Ga
4 4 4 4
Direct
0.0000 0.0000 0.0000
0.0000 0.5000 0.5000
0.5000 0.0000 0.5000
0.5000 0.5000 0.0000
0.0000 0.0000 0.5000
0.0000 0.5000 0.0000
0.5000 0.0000 0.0000
0.5000 0.5000 0.5000
0.2500 0.2500 0.2500
0.2500 0.7500 0.7500
0.7500 0.2500 0.7500
0.7500 0.7500 0.2500
0.2500 0.2500 0.7500
0.2500 0.7500 0.2500
0.7500 0.2500 0.2500
0.7500 0.7500 0.7500

=====

(5)
EuThInGa, relaxed, DFT PBE; symmetry = F-43m; E = -6.186 eV per atom; total moment = 28.6 μB/cell; ΔH_f (0 K) = -0.3214 eV per atom
1.0
7.6157 0.0000 0.0000
0.0000 7.6157 0.0000
0.0000 0.0000 7.6157
Eu Th In Ga
4 4 4 4
Direct
0.0000 0.0000 0.0000
0.0000 0.5000 0.5000
0.5000 0.0000 0.5000
0.5000 0.5000 0.0000
0.0000 0.0000 0.5000
0.0000 0.5000 0.0000
0.5000 0.0000 0.0000
0.5000 0.5000 0.5000
0.2500 0.2500 0.2500
0.2500 0.7500 0.7500
0.7500 0.2500 0.7500
0.7500 0.7500 0.2500
0.2500 0.2500 0.7500
0.2500 0.7500 0.2500
0.7500 0.2500 0.2500
0.7500 0.7500 0.7500

=====

(6)
EuTlInGa, relaxed, DFT PBE; symmetry = F-43m; E = -4.854 eV per atom; total moment = 27.8 μB/cell; ΔH_f (0 K) = -0.2523 eV per atom
1.0
7.5339 0.0000 0.0000
0.0000 7.5339 0.0000
0.0000 0.0000 7.5339
Eu Tl In Ga
4 4 4 4
Direct
0.0000 0.0000 0.0000
0.0000 0.5000 0.5000
0.5000 0.0000 0.5000
0.5000 0.5000 0.0000
0.2500 0.2500 0.7500
0.2500 0.7500 0.2500
0.7500 0.2500 0.2500
0.7500 0.7500 0.7500
0.0000 0.0000 0.5000
0.0000 0.5000 0.0000
0.5000 0.0000 0.0000
0.5000 0.5000 0.5000
0.2500 0.2500 0.2500
0.2500 0.7500 0.7500
0.7500 0.2500 0.7500
0.7500 0.7500 0.2500

=====

> Among the records above, which one has the lowest total moment?

EuTlInGa

=====

> What is the formula in the second record?

SmEuInGa

=====

> Look up the total moment of the fifth one.

28.6 μB/cell